# 1
Compound: Co2SiO4
Source: the Alexandria database
Functional: SCAN
Structure: single point on PBEsol structure

Summary:
Energy relative to the lowest polymorph listed for this composition (eV per formula unit): 0.02
E_form (uncorrected) (eV per formula unit): -13.55
Magnetic moment (μB/cell): 24.000

Unit cell a=5.7052 b=7.5781 c=7.5781 alpha=65.64 beta=67.89 gamma=67.89
Closest atoms and distances in Å follow each position.
Positions (direct):
Co1 0.7500 0.2622 0.2378  6 O 1.98-2.18
Co2 0.5000 0.5000 0.5000  6 O 2.06-2.09
Co3 0.1280 0.8720 0.3720  6 O 2.05-2.10
Co4 0.3720 0.1280 0.6280  6 O 2.05-2.10
Co5 0.8720 0.1280 0.6280  6 O 2.05-2.10
Co6 0.0000 0.0000 0.0000  6 O 2.06-2.09
Co7 0.6280 0.8720 0.3720  6 O 2.05-2.10
Co8 0.2500 0.7378 0.7622  6 O 1.98-2.18
O1 0.5122 0.7420 0.2336  1 Si 1.64
O2 0.2500 0.9791 0.5209  5 Co 1.98-2.05
O3 0.0122 0.7336 0.2420  1 Si 1.64
O4 0.9878 0.2664 0.7580  1 Si 1.64
O5 0.1136 0.6186 0.6293  1 Si 1.64
O6 0.8615 0.8707 0.8814  1 Si 1.64
O7 0.6136 0.1293 0.1186  1 Si 1.64
O8 0.8864 0.3814 0.3707  1 Si 1.64
O9 0.6385 0.6186 0.6293  1 Si 1.64
O10 0.1385 0.1293 0.1186  1 Si 1.64
O11 0.4878 0.2580 0.7664  1 Si 1.64
O12 0.7500 0.0209 0.4791  5 Co 1.98-2.05
O13 0.2500 0.4721 0.0279  2 Si 1.68
O14 0.3615 0.3814 0.3707  1 Si 1.64
O15 0.7500 0.5279 0.9721  2 Si 1.68
O16 0.3864 0.8707 0.8814  1 Si 1.64
Si1 0.8774 0.5047 0.7406  4 O 1.64-1.68
Si2 0.1226 0.4953 0.2594  4 O 1.64-1.68
Si3 0.3774 0.2406 0.0047  4 O 1.64-1.68
Si4 0.6226 0.7594 0.9953  4 O 1.64-1.68

***

# 2
Compound: Rb4P21I
Source: the Alexandria database
Functional: SCAN
Structure: single point on PBEsol structure

Summary:
E_form (uncorrected) (eV per formula unit): -9.47
Magnetic moment (μB/cell): 0.000

Unit cell a=9.7487 b=12.8157 c=12.8157 alpha=117.30 beta=90.00 gamma=90.00
Closest atoms and distances in Å follow each position.
Positions (direct):
P1 0.9167 0.9384 0.4958  3 P 2.21-2.23
P2 0.4146 0.1521 0.1521  3 P 2.14-2.23
P3 0.7500 0.6642 0.2048  2 P 2.14-2.15
P4 0.9146 0.8479 0.8479  3 P 2.14-2.23
P5 0.2500 0.0464 0.0464  2 P 2.14
P6 0.8657 0.6653 0.8134  3 P 2.19-2.26
P7 0.2500 0.5064 0.9454  3 P 2.15-2.21
P8 0.7500 0.9536 0.9536  2 P 2.14
P9 0.6343 0.8134 0.6653  3 P 2.19-2.26
P10 0.0749 0.3143 0.0135  3 P 2.19-2.24
P11 0.9167 0.4958 0.9384  3 P 2.21-2.23
P12 0.9251 0.6857 0.9865  3 P 2.19-2.24
P13 0.7500 0.7667 0.1116  3 P 2.14-2.24
P14 0.0854 0.1521 0.1521  3 P 2.14-2.23
P15 0.1343 0.3347 0.1866  3 P 2.19-2.26
P16 0.3657 0.1866 0.3347  3 P 2.19-2.26
P17 0.4167 0.0616 0.5042  3 P 2.21-2.23
P18 0.0833 0.5042 0.0616  3 P 2.21-2.23
P19 0.4251 0.0135 0.3143  3 P 2.19-2.24
P20 0.3657 0.3347 0.1866  3 P 2.19-2.26
P21 0.5749 0.9865 0.6857  3 P 2.19-2.24
P22 0.0833 0.0616 0.5042  3 P 2.21-2.23
P23 0.1343 0.1866 0.3347  3 P 2.19-2.26
P24 0.7500 0.0546 0.4936  3 P 2.15-2.21
P25 0.2500 0.8884 0.2333  3 P 2.14-2.24
P26 0.5854 0.8479 0.8479  3 P 2.14-2.23
P27 0.0749 0.0135 0.3143  3 P 2.19-2.24
P28 0.4167 0.5042 0.0616  3 P 2.21-2.23
P29 0.2500 0.7952 0.3358  2 P 2.14-2.15
P30 0.7500 0.2048 0.6642  2 P 2.14-2.15
P31 0.2500 0.2333 0.8884  3 P 2.14-2.24
P32 0.8657 0.8134 0.6653  3 P 2.19-2.26
P33 0.7500 0.4936 0.0546  3 P 2.15-2.21
P34 0.5833 0.4958 0.9384  3 P 2.21-2.23
P35 0.2500 0.9454 0.5064  3 P 2.15-2.21
P36 0.9251 0.9865 0.6857  3 P 2.19-2.24
P37 0.5833 0.9384 0.4958  3 P 2.21-2.23
P38 0.5749 0.6857 0.9865  3 P 2.19-2.24
P39 0.2500 0.3358 0.7952  2 P 2.14-2.15
P40 0.7500 0.1116 0.7667  3 P 2.14-2.24
P41 0.6343 0.6653 0.8134  3 P 2.19-2.26
P42 0.4251 0.3143 0.0135  3 P 2.19-2.24
Rb1 0.2500 0.9281 0.7566  5 P 3.31-3.48
Rb2 0.5000 0.3805 0.6195  6 P 3.54-3.74, 2 I 3.82
Rb3 0.0000 0.6195 0.3805  6 P 3.54-3.74, 2 I 3.82
Rb4 0.2500 0.7566 0.9281  5 P 3.31-3.48
Rb5 0.0000 0.3805 0.6195  6 P 3.54-3.74, 2 I 3.82
Rb6 0.7500 0.0719 0.2434  5 P 3.31-3.48
Rb7 0.5000 0.6195 0.3805  6 P 3.54-3.74, 2 I 3.82
Rb8 0.7500 0.2434 0.0719  5 P 3.31-3.48
I1 0.2500 0.6008 0.6008  6 Rb 3.73-3.82
I2 0.7500 0.3992 0.3992  6 Rb 3.73-3.82

***

# 3
Compound: CaPt2
Source: the Alexandria database
Functional: SCAN
Structure: single point on PBEsol structure

Summary:
Fermi-level density of states (states/eV/cell): 4.512
Magnetic moment (μB/cell): 0.000
Energy relative to the elements (meV per atom): -1088

Unit cell a=5.3698 b=5.3698 c=5.3698 alpha=60.00 beta=60.00 gamma=60.00
Closest atoms and distances in Å follow each position.
Positions (direct):
Pt1 0.1250 0.1250 0.1250  6 Pt 2.68
Pt2 0.1250 0.1250 0.6250  6 Pt 2.68
Pt3 0.1250 0.6250 0.1250  6 Pt 2.68
Pt4 0.6250 0.1250 0.1250  6 Pt 2.68
Ca1 0.7500 0.7500 0.7500  12 Pt 3.15, 4 Ca 3.29
Ca2 0.5000 0.5000 0.5000  12 Pt 3.15, 4 Ca 3.29

***

# 4
Compound: CuHg3Br
Source: the Alexandria database
Functional: SCAN
Structure: single point on PBEsol structure

Summary:
E_form (uncorrected) (eV per formula unit): 4.59
Fermi-level density of states (states/eV/cell): 1.897
Magnetic moment (μB/cell): 0.000

Unit cell a=5.6217 b=5.6217 c=5.6217 alpha=90.00 beta=90.00 gamma=90.00
Closest atoms and distances in Å follow each position.
Positions (direct):
Hg1 0.5000 0.0000 0.0000  2 Br 2.81
Hg2 0.0000 0.5000 0.0000  2 Br 2.81
Hg3 0.0000 0.0000 0.5000  2 Br 2.81
Cu1 0.5000 0.5000 0.5000  12 Hg 3.98
Br1 0.0000 0.0000 0.0000  6 Hg 2.81

***

# 5
Compound: LaB3O6
Source: the Alexandria database
Functional: SCAN
Structure: single point on PBEsol structure

Summary:
Energy relative to the lowest polymorph listed for this composition (eV per formula unit): 0.10
E_form (uncorrected) (eV per formula unit): -30.27
Fermi-level density of states (states/eV/cell): 0.000
Magnetic moment (μB/cell): 0.000

Unit cell a=6.4030 b=6.4030 c=6.4543 alpha=62.55 beta=62.55 gamma=79.01
Closest atoms and distances in Å follow each position.
Positions (direct):
B1 0.3427 0.2058 0.0814  3 O 1.34-1.42
B2 0.7795 0.2205 0.7500  4 O 1.45-1.49
B3 0.6573 0.7942 0.9186  3 O 1.34-1.42
B4 0.2205 0.7795 0.2500  4 O 1.45-1.49
B5 0.7942 0.6573 0.4186  3 O 1.34-1.42
B6 0.2058 0.3427 0.5814  3 O 1.34-1.42
O1 0.7861 0.6140 0.0048  1 B 1.34
O2 0.6140 0.7861 0.5048  1 B 1.34
O3 0.3860 0.2139 0.4952  1 B 1.34
O4 0.0063 0.7821 0.2138  2 B 1.42-1.49
O5 0.9937 0.2179 0.7862  2 B 1.42-1.49
O6 0.4142 0.7915 0.0092  2 B 1.39-1.45
O7 0.5858 0.2085 0.9908  2 B 1.39-1.45
O8 0.2179 0.9937 0.2862  2 B 1.42-1.49
O9 0.2085 0.5858 0.4908  2 B 1.39-1.45
O10 0.7821 0.0063 0.7138  2 B 1.42-1.49
O11 0.7915 0.4142 0.5092  2 B 1.39-1.45
O12 0.2139 0.3860 0.9952  1 B 1.34
La1 0.8018 0.1982 0.2500  8 O 2.40-2.61
La2 0.1982 0.8018 0.7500  8 O 2.40-2.61

***

# 6
Compound: BePOs
Source: the Alexandria database
Functional: SCAN
Structure: single point on PBEsol structure

Summary:
Fermi-level density of states (states/eV/cell): 1.584
Magnetic moment (μB/cell): 0.000
Energy relative to the elements (meV per atom): -23

Unit cell a=3.8377 b=3.8377 c=3.8377 alpha=60.00 beta=60.00 gamma=60.00
Closest atoms and distances in Å follow each position.
Positions (direct):
P1 0.0000 0.0000 0.0000  4 Os 2.35
Os1 0.2500 0.2500 0.2500  4 Be 2.35, 4 P 2.35
Be1 0.5000 0.5000 0.5000  4 Os 2.35

***

In the order shown, the computed final energy values come out to -332.4, -695.1, -306.6, -234.6, -266.1, -86.7 eV per cell.